Entry 1:
Computed, not measured: an optimized crystal structure of LiTe2Rh at the GGA-PBE level of DFT.

Cell and atoms, written as POSCAR:
```
LiTe2Rh
1.0
3.816 0.000 0.000
0.000 3.816 0.000
0.000 0.000 5.746
Li Te Rh
1 2 1
Cartesian
0.000 0.000 0.000
0.000 0.000 2.748
1.908 1.908 5.205
1.908 1.908 2.144
```

**ΔE_f (raw)**: -341 meV per atom
**Calculated volume**: 83.7 Å³/cell
**DFT total energy**: -4.228 eV per atom

***

Entry 2:
Computed, not measured: an optimized crystal structure of LiTe2Rh at the GGA-PBE level of DFT.

Cell and atoms, written as POSCAR:
```
LiTe2Rh
1.0
2.021 1.167 7.988
-2.021 1.167 7.988
0.000 -2.334 7.988
Li Te Rh
1 2 1
Cartesian
0.000 0.000 0.000
0.000 0.000 2.665
0.000 0.000 21.300
0.000 0.000 11.983
```

**ΔE_f (raw)**: -441 meV per atom
**Calculated volume**: 113.0 Å³/cell
**DFT total energy**: -4.328 eV per atom

***

Entry 3:
Computed, not measured: an optimized crystal structure of LiTe2Rh at the GGA-PBE level of DFT.

Cell and atoms, written as POSCAR:
```
LiTe2Rh
1.0
1.662 0.959 9.237
-1.662 0.959 9.237
0.000 -1.919 9.237
Li Te Rh
1 2 1
Cartesian
0.000 0.000 0.000
0.000 0.000 11.327
0.000 0.000 16.382
0.000 0.000 13.855
```

**ΔE_f (raw)**: 6 meV per atom
**Calculated volume**: 88.3 Å³/cell
**DFT total energy**: -3.881 eV per atom

***

Entry 4:
Computed, not measured: an optimized crystal structure of LiTe2Rh at the GGA-PBE level of DFT.

Cell and atoms, written as POSCAR:
```
LiTe2Rh
1.0
3.322 -3.593 0.000
3.322 3.593 0.000
-0.024 0.000 3.324
Li Te Rh
1 2 1
Cartesian
0.000 0.000 0.000
1.649 1.797 1.662
1.649 -1.797 1.662
3.322 0.000 0.000
```

**ΔE_f (raw)**: -253 meV per atom
**Calculated volume**: 79.4 Å³/cell
**DFT total energy**: -4.140 eV per atom

***

Entry 5:
Computed, not measured: an optimized crystal structure of LiTe2Rh at the GGA-PBE level of DFT.

Cell and atoms, written as POSCAR:
```
LiTe2Rh
1.0
3.364 0.000 0.000
0.000 3.364 0.000
0.000 0.000 7.340
Li Te Rh
1 2 1
Cartesian
0.000 0.000 0.000
1.682 1.682 1.990
1.682 1.682 5.350
0.000 0.000 3.670
```

**ΔE_f (raw)**: -220 meV per atom
**Calculated volume**: 83.1 Å³/cell
**DFT total energy**: -4.107 eV per atom

***

Entry 6:
Computed, not measured: an optimized crystal structure of Li4TeRh at the GGA-PBE level of DFT.

Cell and atoms, written as POSCAR:
```
Li4TeRh
1.0
0.000 3.512 3.512
3.512 0.000 3.512
3.512 3.512 0.000
Li Te Rh
4 1 1
Cartesian
0.862 0.862 0.862
2.650 2.650 0.862
2.650 0.862 2.650
0.862 2.650 2.650
3.512 3.512 3.512
5.268 5.268 5.268
```

**ΔE_f (raw)**: -198 meV per atom
**Calculated volume**: 86.6 Å³/cell
**DFT total energy**: -3.222 eV per atom

***

Entry 7:
Computed, not measured: an optimized crystal structure of LiTeRh4 at the GGA-PBE level of DFT.

Cell and atoms, written as POSCAR:
```
LiTeRh4
1.0
0.000 3.685 3.685
3.685 0.000 3.685
3.685 3.685 0.000
Li Te Rh
1 1 4
Cartesian
0.000 0.000 0.000
1.843 1.843 1.843
4.608 2.763 2.763
2.763 4.608 2.763
2.763 2.763 4.608
4.608 4.608 4.608
```

**ΔE_f (raw)**: 96 meV per atom
**Calculated volume**: 100.1 Å³/cell
**DFT total energy**: -5.648 eV per atom

***

Entry 8:
Computed, not measured: an optimized crystal structure of LiTe2Rh at the GGA-PBE level of DFT.

Cell and atoms, written as POSCAR:
```
LiTe2Rh
1.0
3.226 0.000 0.000
0.000 5.566 0.000
0.000 0.000 4.603
Li Te Rh
1 2 1
Cartesian
0.000 0.000 0.000
0.000 2.783 0.280
1.613 0.000 2.315
1.613 2.783 2.592
```

**ΔE_f (raw)**: -336 meV per atom
**Calculated volume**: 82.6 Å³/cell
**DFT total energy**: -4.223 eV per atom

***

Copy entry 7 word for word.
Computed, not measured: an optimized crystal structure of LiTeRh4 at the GGA-PBE level of DFT.

Cell and atoms, written as POSCAR:
```
LiTeRh4
1.0
0.000 3.685 3.685
3.685 0.000 3.685
3.685 3.685 0.000
Li Te Rh
1 1 4
Cartesian
0.000 0.000 0.000
1.843 1.843 1.843
4.608 2.763 2.763
2.763 4.608 2.763
2.763 2.763 4.608
4.608 4.608 4.608
```

**ΔE_f (raw)**: 96 meV per atom
**Calculated volume**: 100.1 Å³/cell
**DFT total energy**: -5.648 eV per atom